GGA-PBE KCdH, optimized geometry; calculated total energy = -1.809 eV/atom
1.0
-1.778 0.784 -4.877
-3.104 -1.963 3.642
0.554 7.887 1.066
H K Cd
2 2 2
direct
0.516 0.033 0.052 H
0.484 0.967 0.948 H
0.095 0.190 0.783 K
0.905 0.810 0.217 K
0.329 0.659 0.496 Cd
0.671 0.341 0.504 Cd

***

GGA-PBE Si3TcB, optimized geometry; raw formation energy = 1.24 eV per atom; distance to the lowest polymorph of the same formula = 38.45 kJ per mole of atoms
1.0
-3.378 -0.419 -3.135
2.120 -3.704 -1.789
-2.348 -2.742 2.896
Si B Tc
3 1 1
direct
0.000 0.500 0.000 Si
0.000 0.000 0.500 Si
0.500 0.000 0.000 Si
0.500 0.500 0.500 B
0.000 0.000 0.000 Tc

***

GGA-PBE NaLa2TcMo, optimized geometry; energy of formation = 6.17 eV/f.u.
1.0
5.215 0.000 0.000
0.000 5.248 0.000
0.000 0.000 5.215
Na Mo Tc La
1 1 1 2
direct
0.000 0.500 0.000 Na
0.500 0.500 0.500 Mo
0.000 0.000 0.000 Tc
0.000 0.000 0.500 La
0.500 0.000 0.000 La

***

GGA-PBE HoGe2Pd, optimized geometry; energy of formation = -2.99 eV/f.u.
1.0
-6.006 -7.118 2.176
-6.620 1.526 6.732
4.034 1.406 -8.557
Ho Ge Pd
4 8 4
direct
0.201 0.201 0.000 Ho
0.799 0.799 0.000 Ho
0.760 0.000 0.760 Ho
0.240 0.000 0.240 Ho
0.074 0.574 0.500 Ge
0.926 0.426 0.500 Ge
0.847 0.198 0.649 Ge
0.153 0.802 0.351 Ge
0.548 0.198 0.351 Ge
0.452 0.802 0.649 Ge
0.425 0.425 0.000 Ge
0.575 0.575 0.000 Ge
0.101 0.352 0.749 Pd
0.899 0.648 0.251 Pd
0.604 0.352 0.251 Pd
0.396 0.648 0.749 Pd